20
Lattice="5.6772 0.0000 0.0000 0.0000 5.8005 0.0000 -5.6637 0.0000 8.1105" Properties=species:S:1:pos:R:3 comment="PBE with a Hubbard U Na2ErMoO6, relaxed" magmom_total_mub_per_atom=0.106 pbc="T T T"
Na -0.0390 0.1778 2.0419
Na -2.8709 2.7225 6.0971
Na 2.8844 3.0781 2.0134
Na 0.0526 5.6227 6.0686
Er 2.8386 0.0000 0.0000
Er 0.0068 2.9003 4.0553
Mo -2.8318 0.0000 4.0553
Mo 0.0000 2.9003 0.0000
O -4.5841 1.3250 7.7457
O -1.7523 1.5752 3.6904
O -4.1176 4.0219 7.7926
O -1.2857 4.6789 3.7373
O -2.3681 0.1368 5.9345
O 0.4637 2.7634 1.8793
O -0.4501 3.0371 6.2312
O 2.3817 5.6637 2.1760
O 1.2993 1.1217 4.3732
O 4.1311 1.7786 0.3179
O 1.7659 4.2253 4.4201
O 4.5977 4.4755 0.3648

***

8
Lattice="5.6721 0.0000 0.0000 0.0000 3.3383 0.0000 -1.9115 0.0000 5.5388" Properties=species:S:1:pos:R:3 comment="PBE with a Hubbard U Na2ErMoO4, relaxed" magmom_total_mub_per_atom=0.375 pbc="T T T"
Na 0.0000 0.0000 0.0000
Na 2.8361 1.6692 0.0000
Er -0.9558 1.6692 2.7694
Mo 1.8803 0.0000 2.7694
O 0.0036 0.0000 3.9472
O 0.9883 1.6692 1.6099
O 2.7723 1.6692 3.9290
O 3.7570 0.0000 1.5916

***

16
Lattice="3.6925 -4.8974 0.0000 3.6925 4.8974 0.0000 -3.0338 0.0000 7.3374" Properties=species:S:1:pos:R:3 comment="PBE with a Hubbard U NaErMoO5, relaxed" magmom_total_mub_per_atom=0.000 pbc="T T T"
Na 1.4171 2.9880 5.5030
Na 2.9341 -2.9880 1.8343
Er 3.6925 0.0000 0.0000
Er 2.1756 0.0000 3.6687
Mo 2.9341 3.1584 1.8343
Mo 1.4171 -3.1584 5.5030
O -1.4639 0.6810 6.7052
O 1.7585 2.0935 2.6899
O 0.0530 -0.6810 3.0365
O 4.1096 2.0935 0.9788
O 1.4171 0.7743 5.5030
O 2.9341 -0.7743 1.8343
O 0.2416 -2.0935 6.3586
O 4.2982 0.6810 4.3009
O 2.5927 -2.0935 4.6475
O 5.8151 -0.6810 0.6322

***

14
Lattice="-3.2718 3.4159 4.5853 3.2718 -3.4159 4.5853 3.2718 3.4159 -4.5853" Properties=species:S:1:pos:R:3 comment="PBE with a Hubbard U NaErMoO4, relaxed" magmom_total_mub_per_atom=0.286 pbc="T T T"
Na 0.0000 1.7080 1.0986
Na 3.2718 1.7080 3.4867
Er 3.2718 0.0000 0.0000
Er 0.0000 0.0000 4.5853
Mo 1.6359 1.7080 -2.2926
Mo 1.6359 -1.7080 2.2926
O 3.2718 -0.3442 2.2383
O 3.2718 3.0717 -2.2383
O 1.8297 1.7080 -0.2424
O 4.7140 1.7080 -0.2424
O -1.4422 1.7080 4.8277
O 1.4422 1.7080 4.8277
O 0.0000 0.3442 6.8236
O 0.0000 3.7601 2.3470

***

10
Lattice="5.5883 0.0000 0.0000 2.7812 4.9009 0.0000 2.7110 1.6882 5.0201" Properties=species:S:1:pos:R:3 comment="PBE with a Hubbard U NaEr2MoO6, relaxed" magmom_total_mub_per_atom=0.100 pbc="T T T"
Na 0.0000 0.0000 0.0000
Er 2.7359 1.6075 1.7185
Er 8.3013 4.9654 4.1293
Mo 5.5204 3.2979 2.1713
O 4.6978 4.8808 3.1477
O 4.0307 3.1664 0.8486
O 4.5137 1.8223 3.1632
O 6.2049 4.6729 0.7883
O 7.1852 3.2059 3.1267
O 6.3834 1.9756 0.8199

***

12
Lattice="2.8722 -4.6606 0.0000 2.8722 4.6606 0.0000 -1.8412 0.0000 5.6075" Properties=species:S:1:pos:R:3 comment="PBE with a Hubbard U Na3ErMo2O6, relaxed" magmom_total_mub_per_atom=0.333 pbc="T T T"
Na 0.0000 0.0000 0.0000
Na 2.8722 1.6051 0.0000
Na 2.8722 -1.6051 0.0000
Er 1.9516 0.0000 2.8038
Mo 1.9516 3.2544 2.8038
Mo 1.9516 -3.2544 2.8038
O 0.9409 1.6205 1.6505
O 0.0829 0.0000 4.1143
O 0.9409 -1.6205 1.6505
O 2.9622 1.6205 3.9570
O 3.8202 0.0000 1.4932
O 2.9622 -1.6205 3.9570

***

no.,uncorrected energy (eV per atom)
1,-6.432
2,-6.529
3,-6.976
4,-7.072
5,-7.387
6,-6.333